(1)
# InPBr2, relaxed, DFT GGA-PBE
data_InPBr2
_cell_length_a 3.7032
_cell_length_b 4.2259
_cell_length_c 15.1624
_cell_angle_alpha 90.00
_cell_angle_beta 90.00
_cell_angle_gamma 90.00
_symmetry_space_group_name_H-M 'I m m 2'
_symmetry_Int_Tables_number 44
loop_
_symmetry_equiv_pos_as_xyz
'x,y,z'
'-x,-y,z'
'-x,y,z'
'x,-y,z'
'x+1/2,y+1/2,z+1/2'
'-x+1/2,-y+1/2,z+1/2'
'-x+1/2,y+1/2,z+1/2'
'x+1/2,-y+1/2,z+1/2'
loop_
_atom_site_label
_atom_site_type_symbol
_atom_site_fract_x
_atom_site_fract_y
_atom_site_fract_z
In1 In 0.0000 0.0000 0.0000
P1 P 0.0000 0.5000 0.6354
Br1 Br 0.0000 0.0000 0.4137
Br2 Br 0.0000 0.5000 0.1626
# E_tot	-2.851	eV per atom

=====

(2)
# InPBr, relaxed, DFT GGA-PBE
data_InPBr
_cell_length_a 6.8262
_cell_length_b 6.8262
_cell_length_c 6.8262
_cell_angle_alpha 90.00
_cell_angle_beta 90.00
_cell_angle_gamma 90.00
_symmetry_space_group_name_H-M 'F -4 3 m'
_symmetry_Int_Tables_number 216
_symmetry_space_group_name_Hall 'F -4 2 3'
loop_
_atom_site_label
_atom_site_type_symbol
_atom_site_fract_x
_atom_site_fract_y
_atom_site_fract_z
In1 In 0.0000 0.0000 0.0000
P1 P 0.2500 0.2500 0.2500
Br1 Br 0.2500 0.2500 0.7500
# E_tot	-2.906	eV per atom

=====

(3)
# InPBr2, relaxed, DFT GGA-PBE
data_InPBr2
_cell_length_a 5.9756
_cell_length_b 5.9756
_cell_length_c 16.3640
_cell_angle_alpha 90.00
_cell_angle_beta 90.00
_cell_angle_gamma 90.00
_symmetry_space_group_name_H-M 'I -4 2 d'
_symmetry_Int_Tables_number 122
_symmetry_space_group_name_Hall 'I -4 2bw'
loop_
_atom_site_label
_atom_site_type_symbol
_atom_site_fract_x
_atom_site_fract_y
_atom_site_fract_z
In1 In 0.0000 0.0000 0.0000
P1 P 0.0000 0.0000 0.5000
Br1 Br 0.1483 0.2500 0.6250
# E_tot	-2.666	eV per atom

=====

(4)
# InPBr, relaxed, DFT GGA-PBE
data_InPBr
_cell_length_a 6.5716
_cell_length_b 6.5716
_cell_length_c 22.3228
_cell_angle_alpha 90.00
_cell_angle_beta 90.00
_cell_angle_gamma 120.00
_symmetry_space_group_name_H-M 'R 3'
_symmetry_Int_Tables_number 146
_symmetry_space_group_name_Hall 'R 3'
loop_
_atom_site_label
_atom_site_type_symbol
_atom_site_fract_x
_atom_site_fract_y
_atom_site_fract_z
In1 In 0.0000 0.0000 0.0000
In2 In 0.0000 0.0000 0.2026
In3 In 0.0000 0.0000 0.7089
P1 P 0.1410 0.4586 0.2695
Br1 Br 0.0156 0.6790 0.1020
# E_tot	-3.414	eV per atom

=====

Q: Which polymorph energy (0 for the lowest one) values were calculated for the entries above? A: 0.4172, 0.5084, 0.6028, 0.0000, in eV/atom.
Q: Which energy relative to the elements, uncorrected values were calculated for the entries above? A: 0.022, 0.368, 0.208, -0.140, in eV per atom.